Arrangement one

FeAgSeBr2 | Alexandria via LeMat-Bulk | GGA-PBE | optimized geometry; space group = P4/mmm (123); calculated density = 4.7 g/cm³
1.0
5.1616 0.0000 0.0000
0.0000 5.1616 0.0000
0.0000 0.0000 5.2821
Se Br Ag Fe
1 2 1 1
Direct
0.0000 0.0000 0.5000
0.0000 0.5000 0.0000
0.5000 0.0000 0.0000
0.0000 0.0000 0.0000
0.5000 0.5000 0.5000

=====

Arrangement two

FeAgSeBr2 | Alexandria via LeMat-Bulk | GGA-PBE | optimized geometry; space group = P4/mmm (123); calculated density = 5.6 g/cm³
1.0
-0.6612 3.9335 -3.3218
-4.9950 -1.3016 -0.5470
-1.0571 2.6496 3.3480
Se Br Ag Fe
1 2 1 1
Direct
0.0000 0.0000 0.5000
0.0000 0.5000 0.0000
0.5000 0.0000 0.0000
0.5000 0.5000 0.5000
0.0000 0.0000 0.0000

=====

Calculated relative energies: arrangement one 43.9; arrangement two 0.0, given in kJ/mol of atoms

=====

Arrangement one

FeAgSe2Br | Alexandria via LeMat-Bulk | GGA-PBE | optimized geometry; space group = P4/mmm (123); calculated density = 5.8 g/cm³
1.0
-1.7705 1.3467 3.9578
-4.0719 -1.5296 -1.3010
1.1551 -4.9462 2.1998
Se Br Ag Fe
2 1 1 1
Direct
0.0000 0.5000 0.0000
0.5000 0.0000 0.0000
0.0000 0.0000 0.5000
0.5000 0.5000 0.5000
0.0000 0.0000 0.0000

=====

Arrangement two

FeAgSe2Br | Alexandria via LeMat-Bulk | GGA-PBE | optimized geometry; space group = P4/mmm (123); calculated density = 5.0 g/cm³
1.0
5.0981 0.0000 0.0000
0.0000 5.0981 0.0000
0.0000 0.0000 5.1338
Se Br Ag Fe
2 1 1 1
Direct
0.0000 0.5000 0.0000
0.5000 0.0000 0.0000
0.0000 0.0000 0.5000
0.0000 0.0000 0.0000
0.5000 0.5000 0.5000

=====

Calculated relative energies: arrangement one 0.0; arrangement two 59.8, given in kJ/mol of atoms

=====

Arrangement one

GaAgBr5 | Alexandria via LeMat-Bulk | GGA-PBE | optimized geometry; space group = C2/c (15); calculated density = 4.6 g/cm³
1.0
6.8652 0.1544 0.3137
2.3244 6.4616 0.3137
3.6760 2.6465 9.7228
Ga Ag Br
2 2 10
Direct
0.0000 0.0000 0.0000
0.0000 0.0000 0.5000
0.5334 0.4666 0.2500
0.4666 0.5334 0.7500
0.8784 0.6614 0.1498
0.2089 0.6337 0.4658
0.6614 0.8784 0.6498
0.8781 0.1219 0.2500
0.3663 0.7911 0.0342
0.6337 0.2089 0.9658
0.1219 0.8781 0.7500
0.3386 0.1216 0.3502
0.7911 0.3663 0.5342
0.1216 0.3386 0.8502

=====

Arrangement two

GaAgBr5 | Alexandria via LeMat-Bulk | GGA-PBE | optimized geometry; space group = C2/c (15); calculated density = 3.8 g/cm³
1.0
7.3348 0.5719 -1.8492
-1.6361 7.1728 -1.8492
0.0018 0.0024 9.3385
Ga Ag Br
2 2 10
Direct
0.6801 0.3199 0.7500
0.3199 0.6801 0.2500
0.0000 0.0000 0.0000
0.0000 0.0000 0.5000
0.7352 0.5945 0.9418
0.2648 0.4055 0.0582
0.4055 0.2648 0.5582
0.5945 0.7352 0.4418
0.1033 0.8967 0.7500
0.8967 0.1033 0.2500
0.6712 0.0619 0.8599
0.3288 0.9381 0.1401
0.9381 0.3288 0.6401
0.0619 0.6712 0.3599

=====

Calculated relative energies: arrangement one 18.0; arrangement two 0.0, given in kJ/mol of atoms

=====

Arrangement one

Gd2AgBr | Alexandria via LeMat-Bulk | GGA-PBE | optimized geometry; space group = R-3m (166); calculated density = 7.5 g/cm³
1.0
-2.3107 -2.1865 -2.7217
1.4900 -3.5585 -1.6262
-3.2286 -5.6815 4.0852
Gd Br Ag
2 1 1
Direct
0.2550 0.2550 0.2352
0.7450 0.7450 0.7648
0.5000 0.5000 0.5000
0.0000 0.0000 0.0000

=====

Arrangement two

Gd2AgBr | Alexandria via LeMat-Bulk | GGA-PBE | optimized geometry; space group = P4/mmm (123); calculated density = 8.1 g/cm³
1.0
3.5327 0.0000 0.0000
0.0000 3.5327 0.0000
0.0000 0.0000 8.2177
Gd Br Ag
2 1 1
Direct
0.0000 0.0000 0.7696
0.0000 0.0000 0.2304
0.5000 0.5000 0.5000
0.5000 0.5000 0.0000

=====

Calculated relative energies: arrangement one 0.0; arrangement two 1.5, given in kJ/mol of atoms

=====

Arrangement one

Ag2GeBr | Alexandria via LeMat-Bulk | GGA-PBE | optimized geometry; space group = I-42d (122); calculated density = 5.9 g/cm³
1.0
-3.4738 -5.8650 1.0985
5.5625 -2.7230 3.0522
-0.3138 -2.7716 5.9086
Ge Br Ag
2 2 4
Direct
0.5000 0.5000 0.0000
0.2500 0.7500 0.5000
0.0000 0.0000 0.0000
0.7500 0.2500 0.5000
0.6001 0.1250 0.2500
0.1499 0.6250 0.2500
0.3750 0.3999 0.7500
0.8750 0.8501 0.7500

=====

Arrangement two

Ag2GeBr | Alexandria via LeMat-Bulk | GGA-PBE | optimized geometry; space group = Fm-3m (225); calculated density = 7.1 g/cm³
1.0
0.0000 3.5083 3.5083
3.5083 0.0000 3.5083
3.5083 3.5083 0.0000
Ge Br Ag
1 1 2
Direct
0.0000 0.0000 0.0000
0.5000 0.5000 0.5000
0.2500 0.2500 0.2500
0.7500 0.7500 0.7500

=====

Calculated relative energies: arrangement one 0.0; arrangement two 25.6, given in kJ/mol of atoms

=====

Arrangement one

AgHBr3 | Alexandria via LeMat-Bulk | GGA-PBE | optimized geometry; space group = R3m (160); calculated density = 3.7 g/cm³
1.0
-0.5500 1.9957 5.0433
0.3287 -4.6817 2.7738
5.2717 0.2281 1.3700
Ag H Br
1 1 3
Direct
0.1836 0.1836 0.1836
0.9531 0.9531 0.9531
0.6835 0.1524 0.1524
0.1524 0.6835 0.1524
0.1524 0.1524 0.6835

=====

Arrangement two

AgHBr3 | Alexandria via LeMat-Bulk | GGA-PBE | optimized geometry; space group = Pm-3m (221); calculated density = 5.3 g/cm³
1.0
-2.7733 -3.6764 1.2978
3.3054 -1.3726 3.1751
-2.0674 2.7370 3.3355
H Br Ag
1 3 1
Direct
0.0000 0.0000 0.0000
0.0000 0.5000 0.0000
0.0000 0.0000 0.5000
0.5000 0.0000 0.0000
0.5000 0.5000 0.5000

=====

Arrangement three

AgHBr3 | Alexandria via LeMat-Bulk | GGA-PBE | optimized geometry; space group = P1 (1); calculated density = 3.4 g/cm³
1.0
-3.4322 -0.6500 -3.0175
0.3480 -4.8205 0.3535
-9.1511 6.5643 12.3815
Ag H Br
2 2 6
Direct
0.2670 0.4852 0.5751
0.7767 0.0914 0.5789
0.2454 0.6182 0.8878
0.7987 0.9607 0.2660
0.0743 0.5645 0.0977
0.4302 0.3699 0.8505
0.6138 0.2086 0.3038
0.9699 0.0169 0.0565
0.2373 0.8757 0.4825
0.8065 0.7010 0.6715

=====

Arrangement four

AgHBr3 | Alexandria via LeMat-Bulk | GGA-PBE | optimized geometry; space group = Pm-3m (221); calculated density = 3.9 g/cm³
1.0
-4.6086 1.4329 -2.1899
-1.0943 -5.0836 -1.0233
-2.3772 -0.4377 4.7165
H Br Ag
1 3 1
Direct
0.5000 0.5000 0.5000
0.0000 0.5000 0.0000
0.0000 0.0000 0.5000
0.5000 0.0000 0.0000
0.0000 0.0000 0.0000

=====

Calculated relative energies: arrangement one 23.2; arrangement two 71.4; arrangement three 0.0; arrangement four 66.5, given in kJ/mol of atoms

=====

Arrangement one

AgH2Br | Alexandria via LeMat-Bulk | GGA-PBE | optimized geometry; space group = I-42d (122); calculated density = 5.4 g/cm³
1.0
5.0910 0.0000 0.0000
0.0000 5.0910 0.0000
2.5455 2.5455 4.5058
H Br Ag
4 2 2
Direct
0.7539 0.1250 0.2500
0.9961 0.6250 0.2500
0.3750 0.2461 0.7500
0.8750 0.0039 0.7500
0.5000 0.5000 0.0000
0.2500 0.7500 0.5000
0.0000 0.0000 0.0000
0.7500 0.2500 0.5000

=====

Arrangement two

AgH2Br | Alexandria via LeMat-Bulk | GGA-PBE | optimized geometry; space group = Fm-3m (225); calculated density = 6.0 g/cm³
1.0
0.0000 2.9703 2.9703
2.9703 0.0000 2.9703
2.9703 2.9703 0.0000
H Br Ag
2 1 1
Direct
0.2500 0.2500 0.2500
0.7500 0.7500 0.7500
0.0000 0.0000 0.0000
0.5000 0.5000 0.5000

=====

Arrangement three

AgH2Br | Alexandria via LeMat-Bulk | GGA-PBE | optimized geometry; space group = Cm (8); calculated density = 3.3 g/cm³
1.0
6.8661 0.0000 -2.9895
-0.3607 3.3905 -0.8285
-2.0758 1.3794 4.6121
Ag H Br
1 2 1
Direct
0.8998 0.4158 0.7997
0.9080 0.9142 0.8160
0.2833 0.7610 0.5666
0.4089 0.4090 0.8177

=====

Calculated relative energies: arrangement one 38.0; arrangement two 81.0; arrangement three 0.0, given in kJ/mol of atoms

=====

Arrangement one

AgHBr | Alexandria via LeMat-Bulk | GGA-PBE | optimized geometry; space group = Pmma (51); calculated density = 5.6 g/cm³
1.0
-4.6618 -1.1340 -2.9203
3.1233 -2.1828 -4.1380
-0.1884 -3.1964 1.5422
Ag H Br
2 2 2
Direct
0.2500 0.2495 0.4997
0.7500 0.7505 0.5003
0.7500 0.7505 0.0003
0.2500 0.2495 0.9997
0.7500 0.2503 0.5009
0.2500 0.7497 0.4991

=====

Arrangement two

AgHBr | Alexandria via LeMat-Bulk | GGA-PBE | optimized geometry; space group = C2/m (12); calculated density = 4.4 g/cm³
1.0
-2.3761 0.8022 -3.5904
-1.0357 -7.7331 1.6286
-3.7002 -0.2470 2.3936
Ag H Br
2 2 2
Direct
0.7484 0.4969 0.7527
0.2516 0.5031 0.2473
0.0003 0.0005 0.0849
0.9997 0.9995 0.9151
0.3656 0.7311 0.6345
0.6344 0.2689 0.3655

=====

Calculated relative energies: arrangement one 33.2; arrangement two 0.0, given in kJ/mol of atoms

=====

Arrangement one

Ag2H2Br | Alexandria via LeMat-Bulk | GGA-PBE | optimized geometry; space group = P4/mbm (127); calculated density = 6.2 g/cm³
1.0
7.1173 0.0000 0.0000
0.0000 7.1173 0.0000
0.0000 0.0000 3.1506
H Br Ag
4 2 4
Direct
0.0875 0.5875 0.5000
0.5875 0.9125 0.5000
0.9125 0.4125 0.5000
0.4125 0.0875 0.5000
0.0000 0.0000 0.0000
0.5000 0.5000 0.0000
0.3683 0.8683 0.0000
0.8683 0.6317 0.0000
0.6317 0.1317 0.0000
0.1317 0.3683 0.0000

=====

Arrangement two

Ag2H2Br | Alexandria via LeMat-Bulk | GGA-PBE | optimized geometry; space group = I4/mmm (139); calculated density = 6.6 g/cm³
1.0
3.6208 0.0000 0.0000
0.0000 3.6208 0.0000
1.8104 1.8104 5.7147
H Br Ag
2 1 2
Direct
0.7500 0.2500 0.5000
0.2500 0.7500 0.5000
0.0000 0.0000 0.0000
0.3193 0.3193 0.3615
0.6807 0.6807 0.6385

=====

Arrangement three

Ag2H2Br | Alexandria via LeMat-Bulk | GGA-PBE | optimized geometry; space group = P-1 (2); calculated density = 6.0 g/cm³
1.0
3.5962 -0.7214 -0.8843
-0.7338 9.9902 5.3684
-3.6622 9.2830 10.0260
Ag H Br
4 4 2
Direct
0.6905 0.8392 0.5517
0.3561 0.8059 0.8989
0.3095 0.1608 0.4483
0.6439 0.1941 0.1011
0.0460 0.0568 0.3701
0.1351 0.3029 0.0404
0.9540 0.9432 0.6299
0.8649 0.6971 0.9596
0.0669 0.4466 0.6837
0.9331 0.5534 0.3163

=====

Calculated relative energies: arrangement one 37.6; arrangement two 5.8; arrangement three 0.0, given in kJ/mol of atoms

=====

Arrangement one

AgHSeBr2 | Alexandria via LeMat-Bulk | GGA-PBE | optimized geometry; space group = P4/mmm (123); calculated density = 5.6 g/cm³
1.0
-2.8345 0.7441 -4.5467
-3.7072 -3.5379 1.7321
-1.7755 2.6116 1.5343
H Se Br Ag
1 1 2 1
Direct
0.0000 0.0000 0.0000
0.0000 0.0000 0.5000
0.0000 0.5000 0.0000
0.5000 0.0000 0.0000
0.5000 0.5000 0.5000

=====

Arrangement two

AgHSeBr2 | Alexandria via LeMat-Bulk | GGA-PBE | optimized geometry; space group = P4/mmm (123); calculated density = 3.9 g/cm³
1.0
5.3861 0.0000 0.0000
0.0000 5.3861 0.0000
0.0000 0.0000 5.1572
H Se Br Ag
1 1 2 1
Direct
0.5000 0.5000 0.5000
0.0000 0.0000 0.5000
0.0000 0.5000 0.0000
0.5000 0.0000 0.0000
0.0000 0.0000 0.0000

=====

Calculated relative energies: arrangement one 0.0; arrangement two 31.1, given in kJ/mol of atoms

=====

Arrangement one

AgHSe2Br | Alexandria via LeMat-Bulk | GGA-PBE | optimized geometry; space group = P4/mmm (123); calculated density = 3.9 g/cm³
1.0
-0.5982 4.5863 2.3405
-4.7683 0.3957 -1.9941
-2.0563 -2.5221 4.4166
H Se Br Ag
1 2 1 1
Direct
0.5000 0.5000 0.5000
0.0000 0.5000 0.0000
0.5000 0.0000 0.0000
0.0000 0.0000 0.5000
0.0000 0.0000 0.0000

=====

Arrangement two

AgHSe2Br | Alexandria via LeMat-Bulk | GGA-PBE | optimized geometry; space group = P4/mmm (123); calculated density = 4.7 g/cm³
1.0
-3.6600 -1.3206 0.5649
0.9820 -3.4292 -1.6539
2.0930 -2.7924 7.0323
H Se Br Ag
1 2 1 1
Direct
0.0000 0.0000 0.0000
0.0000 0.5000 0.0000
0.5000 0.0000 0.0000
0.0000 0.0000 0.5000
0.5000 0.5000 0.5000

=====

Calculated relative energies: arrangement one 63.5; arrangement two 0.0, given in kJ/mol of atoms